# 1
Compound: Na2MgPb2
Source: the Alexandria database
Functional: GGA-PBE
Structure: relaxed

Computed properties:
The formation energy is -0.1024 eV/atom. For the total energy, the calculation gives -0.179 Ry/atom. Its excess energy over the best structure of this formula in the dataset is 0.001 eV per atom.

Cell and atoms, written as CIF:
```
data_Na2MgPb2
_space_group_name_H-M_alt 'C 1 2/m 1'
_space_group_IT_number 12
_cell_length_a 9.2243
_cell_length_b 5.2499
_cell_length_c 6.5310
_cell_angle_alpha 90.00
_cell_angle_beta 119.23
_cell_angle_gamma 90.00
loop_
_space_group_symop_operation_xyz
'x,y,z'
'-x,-y,-z'
'-x,y,-z'
'x,-y,z'
'x+1/2,y+1/2,z'
'-x+1/2,-y+1/2,-z'
'-x+1/2,y+1/2,-z'
'x+1/2,-y+1/2,z'
loop_
_atom_site_label
_atom_site_type_symbol
_atom_site_fract_x
_atom_site_fract_y
_atom_site_fract_z
Na1 Na 0.2027 0.0000 0.1062
Mg1 Mg 0.0000 0.0000 0.5000
Pb1 Pb 0.1008 0.5000 0.3000
```

=====

# 2
Compound: Na2MgPb
Source: the Alexandria database
Functional: GGA-PBE
Structure: relaxed

Computed properties:
The formation energy is -0.1443 eV/atom. For the total energy, the calculation gives -0.157 Ry/atom.

Cell and atoms, written as CIF:
```
data_Na2MgPb
_space_group_name_H-M_alt 'P 63/m m c'
_space_group_IT_number 194
_space_group_name_Hall '-P 6c 2c'
_cell_length_a 5.1449
_cell_length_b 5.1449
_cell_length_c 10.1875
_cell_angle_alpha 90.00
_cell_angle_beta 90.00
_cell_angle_gamma 120.00
loop_
_atom_site_label
_atom_site_type_symbol
_atom_site_fract_x
_atom_site_fract_y
_atom_site_fract_z
Na1 Na 0.3333 0.6667 0.0793
Mg1 Mg 0.0000 0.0000 0.2500
Pb1 Pb 0.3333 0.6667 0.7500
```

=====

# 3
Compound: NaMg6Pb6
Source: the Alexandria database
Functional: GGA-PBE
Structure: relaxed

Computed properties:
The formation energy is -0.0559 eV/atom. For the total energy, the calculation gives -0.191 Ry/atom. Its excess energy over the best structure of this formula in the dataset is 0.005 eV per atom.

Cell and atoms, written as CIF:
```
data_NaMg6Pb6
_space_group_name_H-M_alt 'P 6/m m m'
_space_group_IT_number 191
_space_group_name_Hall '-P 6 2'
_cell_length_a 6.1903
_cell_length_b 6.1903
_cell_length_c 10.6506
_cell_angle_alpha 90.00
_cell_angle_beta 90.00
_cell_angle_gamma 120.00
loop_
_atom_site_label
_atom_site_type_symbol
_atom_site_fract_x
_atom_site_fract_y
_atom_site_fract_z
Na1 Na 0.0000 0.0000 0.0000
Mg1 Mg 0.0000 0.5000 0.2503
Pb1 Pb 0.0000 0.0000 0.3435
Pb2 Pb 0.3333 0.6667 0.0000
Pb3 Pb 0.3333 0.6667 0.5000
```